Below is a relaxed ReRu5 crystal, with properties calculated at the PBE level.

The structure belongs to space group Cm (No. 8); the cell edges are 9.876, 2.732 and 6.429 Å and the angles 90.00°, 103.70° and 90.00°. The inequivalent atoms are Re at (0.000, 0.000, 0.000), Ru at (0.055, 0.000, 0.613), Ru at (0.168, 0.500, 0.335), Ru at (0.223, 0.500, 0.947), Ru at (0.333, 0.000, 0.669) and Ru at (0.390, 0.000, 0.280).

Its energy relative to the elements is -0.041 eV per atom. As for the distance to the lowest polymorph of the same formula: 0.000 eV per atom. Its magnetic moment is 0.0000 μB/atom.